# EuScGaGe

EuScGaGe after structural relaxation (GGA-PBE, the Alexandria database).

abc: 7.0640 7.0640 7.0640
angles: 90.00 90.00 90.00
Fractional positions:
Eu (0.0000, 0.0000, 0.0000)
Eu (0.0000, 0.5000, 0.5000)
Eu (0.5000, 0.0000, 0.5000)
Eu (0.5000, 0.5000, 0.0000)
Sc (0.0000, 0.0000, 0.5000)
Sc (0.0000, 0.5000, 0.0000)
Sc (0.5000, 0.0000, 0.0000)
Sc (0.5000, 0.5000, 0.5000)
Ga (0.2500, 0.2500, 0.7500)
Ga (0.2500, 0.7500, 0.2500)
Ga (0.7500, 0.2500, 0.2500)
Ga (0.7500, 0.7500, 0.7500)
Ge (0.2500, 0.2500, 0.2500)
Ge (0.2500, 0.7500, 0.7500)
Ge (0.7500, 0.2500, 0.7500)
Ge (0.7500, 0.7500, 0.2500)

## Properties
energy relative to the elements	-0.491	eV/atom